The following is a DFT calculation (PBE) of CaSn2Se3 after structural relaxation.

E above lowest polymorph   0.101 eV per atom
Formation energy (no corrections)   -0.85 eV per atom
Density   5.17 g cm⁻³
Total magnetization   0.00 μB per cell
SG   Pmc2_1, No. 26
VASP energy   -0.1565 Ha/atom

extended XYZ file:
```
12
Lattice="-1.234 -3.798 0.299 4.817 -1.132 5.516 -7.736 3.096 7.392" Properties=species:S:1:pos:R:3 pbc="T T T"
Ca -6.596 2.661 6.579
Ca 1.531 -0.193 3.872
Sn 3.420 -0.578 6.793
Sn -4.414 -0.369 3.919
Sn -3.986 1.988 8.810
Sn -2.013 -0.931 6.685
Se 0.047 -1.981 1.849
Se -5.097 0.066 6.625
Se -1.837 0.909 3.962
Se -4.387 0.191 11.145
Se 0.625 -1.825 6.217
Se -1.389 1.127 8.594
```